1.
## K3ErTh2S6 (GGA-PBE)

Data for a relaxed structure of K3ErTh2S6.

Computed properties:
formation energy without anion corrections = -1.73 eV/atom
calculated total energy = -5.689 eV/atom
M_tot = 0.00 μB/f.u.

Geometry as CIF:
```
data_K3ErTh2S6
_chemical_formula_sum 'K3 Er1 Th2 S6'
_cell_length_a 7.060
_cell_length_b 7.060
_cell_length_c 7.818
_cell_angle_alpha 98.66
_cell_angle_beta 98.66
_cell_angle_gamma 120.00
_symmetry_space_group_name_H-M 'P 1'
_symmetry_Int_Tables_number 1
_symmetry_space_group_name_Hall 'P 1'
loop_
_atom_site_label
_atom_site_fract_x
_atom_site_fract_y
_atom_site_fract_z
K1 0.000 0.000 0.000
K2 0.333 0.667 0.000
K3 0.667 0.333 0.000
Er1 0.500 0.500 0.500
Th1 0.167 0.833 0.500
Th2 0.833 0.167 0.500
S1 0.104 0.430 0.291
S2 0.244 0.244 0.709
S3 0.430 0.104 0.291
S4 0.570 0.896 0.709
S5 0.756 0.756 0.291
S6 0.896 0.570 0.709
```

2.
## Pm6Cd6In (GGA-PBE)

Data for a relaxed structure of Pm6Cd6In.

Computed properties:
calculated total energy = -3.004 eV/atom
M_tot = 0.53 μB/f.u.

Geometry as CIF:
```
data_Pm6Cd6In
_chemical_formula_sum 'Pm6 Cd6 In1'
_cell_length_a 6.157
_cell_length_b 6.157
_cell_length_c 11.332
_cell_angle_alpha 90.00
_cell_angle_beta 90.00
_cell_angle_gamma 120.00
_symmetry_space_group_name_H-M 'P 1'
_symmetry_Int_Tables_number 1
_symmetry_space_group_name_Hall 'P 1'
loop_
_atom_site_label
_atom_site_fract_x
_atom_site_fract_y
_atom_site_fract_z
Pm1 0.000 0.000 0.161
Pm2 0.000 0.000 0.839
Pm3 0.333 0.667 0.000
Pm4 0.333 0.667 0.500
Pm5 0.667 0.333 0.000
Pm6 0.667 0.333 0.500
Cd1 0.000 0.500 0.255
Cd2 0.000 0.500 0.745
Cd3 0.500 0.000 0.255
Cd4 0.500 0.000 0.745
Cd5 0.500 0.500 0.255
Cd6 0.500 0.500 0.745
In1 0.000 0.000 0.500
```

3.
## FeCo2Mo (GGA-PBE)

Data for a relaxed structure of FeCo2Mo.

Computed properties:
calculated total energy = -8.247 eV/atom
M_tot = 4.64 μB/f.u.

Geometry as CIF:
```
data_FeCo2Mo
_chemical_formula_sum 'Fe1 Co2 Mo1'
_cell_length_a 2.564
_cell_length_b 3.922
_cell_length_c 5.050
_cell_angle_alpha 90.00
_cell_angle_beta 104.23
_cell_angle_gamma 90.00
_symmetry_space_group_name_H-M 'P 1'
_symmetry_Int_Tables_number 1
_symmetry_space_group_name_Hall 'P 1'
loop_
_atom_site_label
_atom_site_fract_x
_atom_site_fract_y
_atom_site_fract_z
Fe1 0.000 0.000 0.000
Co1 0.425 0.500 0.234
Co2 0.575 0.500 0.766
Mo1 0.000 0.000 0.500
```

4.
## Nd8PPt3Cl4 (GGA-PBE)

Data for a relaxed structure of Nd8PPt3Cl4.

Computed properties:
formation energy without anion corrections = -1.36 eV/atom
calculated total energy = -5.677 eV/atom
M_tot = 0.00 μB/f.u.

Geometry as CIF:
```
data_Nd8PPt3Cl4
_chemical_formula_sum 'Nd8 P1 Pt3 Cl4'
_cell_length_a 8.669
_cell_length_b 8.669
_cell_length_c 8.669
_cell_angle_alpha 58.05
_cell_angle_beta 58.05
_cell_angle_gamma 58.05
_symmetry_space_group_name_H-M 'P 1'
_symmetry_Int_Tables_number 1
_symmetry_space_group_name_Hall 'P 1'
loop_
_atom_site_label
_atom_site_fract_x
_atom_site_fract_y
_atom_site_fract_z
Nd1 0.236 0.236 0.236
Nd2 0.238 0.740 0.740
Nd3 0.260 0.260 0.762
Nd4 0.260 0.762 0.260
Nd5 0.740 0.238 0.740
Nd6 0.740 0.740 0.238
Nd7 0.762 0.260 0.260
Nd8 0.764 0.764 0.764
P1 0.500 0.500 0.500
Pt1 0.000 0.000 0.500
Pt2 0.000 0.500 0.000
Pt3 0.500 0.000 0.000
Cl1 0.000 0.000 0.000
Cl2 0.000 0.500 0.500
Cl3 0.500 0.000 0.500
Cl4 0.500 0.500 0.000
```

5.
## DyNi4 (GGA-PBE)

Data for a relaxed structure of DyNi4.

Computed properties:
calculated total energy = -5.738 eV/atom
M_tot = 0.51 μB/f.u.

Geometry as CIF:
```
data_DyNi4
_chemical_formula_sum 'Dy4 Ni16'
_cell_length_a 7.205
_cell_length_b 7.205
_cell_length_c 7.205
_cell_angle_alpha 109.47
_cell_angle_beta 109.47
_cell_angle_gamma 109.47
_symmetry_space_group_name_H-M 'P 1'
_symmetry_Int_Tables_number 1
_symmetry_space_group_name_Hall 'P 1'
loop_
_atom_site_label
_atom_site_fract_x
_atom_site_fract_y
_atom_site_fract_z
Dy1 0.000 0.000 0.553
Dy2 0.000 0.553 0.000
Dy3 0.447 0.447 0.447
Dy4 0.553 0.000 0.000
Ni1 0.000 0.000 0.199
Ni2 0.000 0.199 0.000
Ni3 0.000 0.352 0.352
Ni4 0.000 0.648 0.648
Ni5 0.199 0.000 0.000
Ni6 0.250 0.500 0.750
Ni7 0.250 0.750 0.500
Ni8 0.352 0.000 0.352
Ni9 0.352 0.352 0.000
Ni10 0.500 0.250 0.750
Ni11 0.500 0.750 0.250
Ni12 0.648 0.000 0.648
Ni13 0.648 0.648 0.000
Ni14 0.750 0.250 0.500
Ni15 0.750 0.500 0.250
Ni16 0.801 0.801 0.801
```

6.
## LuTiSnHg (GGA-PBE)

Data for a relaxed structure of LuTiSnHg.

Computed properties:
calculated total energy = -4.414 eV/atom
M_tot = 1.75 μB/f.u.

Geometry as CIF:
```
data_LuTiSnHg
_chemical_formula_sum 'Lu1 Ti1 Sn1 Hg1'
_cell_length_a 5.010
_cell_length_b 5.010
_cell_length_c 5.010
_cell_angle_alpha 60.00
_cell_angle_beta 60.00
_cell_angle_gamma 60.00
_symmetry_space_group_name_H-M 'P 1'
_symmetry_Int_Tables_number 1
_symmetry_space_group_name_Hall 'P 1'
loop_
_atom_site_label
_atom_site_fract_x
_atom_site_fract_y
_atom_site_fract_z
Lu1 0.000 0.000 0.000
Ti1 0.500 0.500 0.500
Sn1 0.750 0.750 0.750
Hg1 0.250 0.250 0.250
```

Q: Which of these has the lowest calculated total energy?
A: FeCo2Mo

What did the third record say?
## FeCo2Mo (GGA-PBE)

Data for a relaxed structure of FeCo2Mo.

Computed properties:
calculated total energy = -8.247 eV/atom
M_tot = 4.64 μB/f.u.

Geometry as CIF:
```
data_FeCo2Mo
_chemical_formula_sum 'Fe1 Co2 Mo1'
_cell_length_a 2.564
_cell_length_b 3.922
_cell_length_c 5.050
_cell_angle_alpha 90.00
_cell_angle_beta 104.23
_cell_angle_gamma 90.00
_symmetry_space_group_name_H-M 'P 1'
_symmetry_Int_Tables_number 1
_symmetry_space_group_name_Hall 'P 1'
loop_
_atom_site_label
_atom_site_fract_x
_atom_site_fract_y
_atom_site_fract_z
Fe1 0.000 0.000 0.000
Co1 0.425 0.500 0.234
Co2 0.575 0.500 0.766
Mo1 0.000 0.000 0.500
```

Q: Which formula does entry 2 have?
A: Pm6Cd6In

Q: Number 5 is which compound?
A: DyNi4